## Ba2YFe (GGA-PBE)

Data for a relaxed Ba2YFe crystal.

Structure (POSCAR):
```
Ba2YFe
1.0
-1.823 2.244 9.520
1.823 -2.244 9.520
1.823 2.244 -9.520
Ba Y Fe
2 1 1
direct
0.154 0.154 0.000 Ba
0.846 0.846 0.000 Ba
0.500 0.000 0.500 Y
0.000 0.500 0.500 Fe
```

Properties
DOS at the Fermi energy ... 6.30 states/eV/f.u.
DFT formation energy ... 158 kJ/mol of formula units
Energy ... -4.28 eV per atom
Space-group type ... Immm